*w*
Compound: ErPdS2
Source: Alexandria via LeMat-Bulk
Functional: PBE
Structure: relaxed

abc: 3.6747 3.6747 23.3141
angles: 90.00 90.00 120.00
With the nearest neighbours (Å) after each atom.
Fractional positions:
Er 0.0000 0.0000 0.0000  2 S 2.63
Er 0.3333 0.6667 0.6667  2 S 2.63
Er 0.6667 0.3333 0.3333  2 S 2.63
Pd 0.0000 0.0000 0.5000  6 S 2.46
Pd 0.3333 0.6667 0.1667  6 S 2.46
Pd 0.6667 0.3333 0.8333  6 S 2.46
S 0.0000 0.0000 0.1128  3 Pd 2.46, 1 Er 2.63
S 0.0000 0.0000 0.8872  3 Pd 2.46, 1 Er 2.63
S 0.3333 0.6667 0.5538  3 Pd 2.46, 1 Er 2.63
S 0.3333 0.6667 0.7795  3 Pd 2.46, 1 Er 2.63
S 0.6667 0.3333 0.2205  3 Pd 2.46, 1 Er 2.63
S 0.6667 0.3333 0.4462  3 Pd 2.46, 1 Er 2.63

* DOS at the Fermi energy: 0.842 states/eV/atom


*x*
Compound: ErPdS2
Source: Alexandria via LeMat-Bulk
Functional: PBE
Structure: relaxed

abc: 3.8263 3.8263 18.2980
angles: 90.00 90.00 120.00
With the nearest neighbours (Å) after each atom.
Fractional positions:
Er 0.0000 0.0000 0.0000  6 S 2.71-2.74
Er 0.3333 0.6667 0.6667  6 S 2.71-2.74
Er 0.6667 0.3333 0.3333  6 S 2.71-2.74
Pd 0.0000 0.0000 0.1747  6 S 2.58-2.72
Pd 0.3333 0.6667 0.8414  6 S 2.58-2.72
Pd 0.6667 0.3333 0.5081  6 S 2.58-2.72
S 0.0000 0.0000 0.5805  3 Pd 2.58, 3 Er 2.71
S 0.0000 0.0000 0.7551  3 Pd 2.72, 3 Er 2.74
S 0.3333 0.6667 0.2472  3 Pd 2.58, 3 Er 2.71
S 0.3333 0.6667 0.4218  3 Pd 2.72, 3 Er 2.74
S 0.6667 0.3333 0.0885  3 Pd 2.72, 3 Er 2.74
S 0.6667 0.3333 0.9139  3 Pd 2.58, 3 Er 2.71

* DOS at the Fermi energy: 0.951 states/eV/atom


Most stable one: *x*, least stable one: *w*.


*w*
Compound: ErSb2Pd7
Source: Alexandria via LeMat-Bulk
Functional: PBE
Structure: relaxed

abc: 7.5183 7.5183 4.5010
angles: 90.00 90.00 120.19
With the nearest neighbours (Å) after each atom.
Fractional positions:
Er 0.0000 0.0000 0.0000  10 Pd 2.73-2.99
Sb 0.3031 0.6969 0.5000  7 Pd 2.56-2.86
Sb 0.6969 0.3031 0.5000  7 Pd 2.56-2.86
Pd 0.0710 0.2907 0.5000  2 Sb 2.65-2.86, 5 Pd 2.71-2.93
Pd 0.2094 0.7906 0.0000  2 Sb 2.56, 1 Er 2.73
Pd 0.2907 0.0710 0.5000  2 Sb 2.65-2.86, 5 Pd 2.71-2.93
Pd 0.5000 0.5000 0.5000  2 Sb 2.57, 4 Pd 2.79
Pd 0.7093 0.9290 0.5000  2 Sb 2.65-2.86, 5 Pd 2.71-2.93
Pd 0.7906 0.2094 0.0000  2 Sb 2.56, 1 Er 2.73
Pd 0.9290 0.7093 0.5000  2 Sb 2.65-2.86, 5 Pd 2.71-2.93

* DOS at the Fermi energy: 0.401 states/eV/atom


*x*
Compound: ErSb2Pd7
Source: Alexandria via LeMat-Bulk
Functional: PBE
Structure: relaxed

abc: 11.4460 11.4460 11.4460
angles: 159.28 159.28 29.46
With the nearest neighbours (Å) after each atom.
Fractional positions:
Er 0.0000 0.0000 0.0000  12 Pd 2.91
Sb 0.3299 0.3299 0.0000  8 Pd 2.67-2.71
Sb 0.6701 0.6701 0.0000  8 Pd 2.67-2.71
Pd 0.0930 0.5930 0.5000  2 Sb 2.67, 6 Pd 2.91, 2 Er 2.91
Pd 0.2500 0.7500 0.5000  4 Sb 2.71, 4 Pd 2.91
Pd 0.4070 0.9070 0.5000  2 Sb 2.67, 6 Pd 2.91, 2 Er 2.91
Pd 0.5000 0.5000 0.0000  4 Er 2.91, 8 Pd 2.91
Pd 0.5930 0.0930 0.5000  2 Sb 2.67, 6 Pd 2.91, 2 Er 2.91
Pd 0.7500 0.2500 0.5000  4 Sb 2.71, 4 Pd 2.91
Pd 0.9070 0.4070 0.5000  2 Sb 2.67, 6 Pd 2.91, 2 Er 2.91

* DOS at the Fermi energy: 0.410 states/eV/atom


Most stable one: *x*, least stable one: *w*.


*w*
Compound: ErSbPd4
Source: Alexandria via LeMat-Bulk
Functional: PBE
Structure: relaxed

abc: 5.5468 8.0182 5.5380
angles: 90.00 90.00 90.00
With the nearest neighbours (Å) after each atom.
Fractional positions:
Er 0.0000 0.0000 0.0000  8 Pd 2.82
Er 0.5000 0.5000 0.0000  8 Pd 2.82
Sb 0.0000 0.5000 0.5000  8 Pd 2.79
Sb 0.5000 0.0000 0.5000  8 Pd 2.79
Pd 0.2500 0.2500 0.2552  4 Pd 2.71-2.83, 2 Sb 2.79, 2 Er 2.82
Pd 0.2500 0.2500 0.7448  4 Pd 2.71-2.83, 2 Sb 2.79, 2 Er 2.82
Pd 0.2500 0.7500 0.2552  4 Pd 2.71-2.83, 2 Sb 2.79, 2 Er 2.82
Pd 0.2500 0.7500 0.7448  4 Pd 2.71-2.83, 2 Sb 2.79, 2 Er 2.82
Pd 0.7500 0.2500 0.2552  4 Pd 2.71-2.83, 2 Sb 2.79, 2 Er 2.82
Pd 0.7500 0.2500 0.7448  4 Pd 2.71-2.83, 2 Sb 2.79, 2 Er 2.82
Pd 0.7500 0.7500 0.2552  4 Pd 2.71-2.83, 2 Sb 2.79, 2 Er 2.82
Pd 0.7500 0.7500 0.7448  4 Pd 2.71-2.83, 2 Sb 2.79, 2 Er 2.82

* DOS at the Fermi energy: 0.427 states/eV/atom


*x*
Compound: ErSbPd4
Source: Alexandria via LeMat-Bulk
Functional: PBE
Structure: relaxed

abc: 5.3870 5.3870 5.3870
angles: 60.00 60.00 60.00
With the nearest neighbours (Å) after each atom.
Fractional positions:
Er 0.0000 0.0000 0.0000  12 Pd 3.16, 4 Sb 3.30
Sb 0.7500 0.7500 0.7500  12 Pd 3.16, 4 Er 3.30
Pd 0.3747 0.3747 0.3747  6 Pd 2.69-2.70
Pd 0.3747 0.3747 0.8760  6 Pd 2.69-2.70
Pd 0.3747 0.8760 0.3747  6 Pd 2.69-2.70
Pd 0.8760 0.3747 0.3747  6 Pd 2.69-2.70

* DOS at the Fermi energy: 0.942 states/eV/atom


Most stable one: *x*, least stable one: *w*.


*w*
Compound: Er4SbPd
Source: Alexandria via LeMat-Bulk
Functional: PBE
Structure: relaxed

abc: 8.0107 8.0107 8.0107
angles: 107.54 107.54 113.41
With the nearest neighbours (Å) after each atom.
Fractional positions:
Er 0.1485 0.4602 0.6882  1 Pd 2.74, 2 Sb 2.97-3.06
Er 0.2102 0.0220 0.8118  1 Pd 2.74, 2 Sb 2.97-3.06
Er 0.2102 0.3985 0.1882  1 Pd 2.74, 2 Sb 2.97-3.06
Er 0.2883 0.0000 0.2883  2 Pd 2.74-2.81, 1 Sb 3.02
Er 0.7117 0.0000 0.7117  2 Pd 2.74-2.81, 1 Sb 3.02
Er 0.7500 0.5383 0.7883  2 Pd 2.74-2.81, 1 Sb 3.02
Er 0.7500 0.9617 0.2117  2 Pd 2.74-2.81, 1 Sb 3.02
Er 0.7720 0.4602 0.3118  1 Pd 2.74, 2 Sb 2.97-3.06
Sb 0.2425 0.7425 0.5000  6 Er 2.97-3.06
Sb 0.4925 0.4925 0.0000  6 Er 2.97-3.06
Pd 0.7239 0.2239 0.5000  6 Er 2.74-2.81
Pd 0.9739 0.9739 0.0000  6 Er 2.74-2.81

* DOS at the Fermi energy: 1.432 states/eV/atom


*x*
Compound: Er4SbPd
Source: Alexandria via LeMat-Bulk
Functional: PBE
Structure: relaxed

abc: 6.0416 6.5117 8.6844
angles: 90.00 110.08 90.00
With the nearest neighbours (Å) after each atom.
Fractional positions:
Er 0.0007 0.9997 0.2898  2 Pd 2.85-2.94, 1 Sb 3.18
Er 0.0007 0.5003 0.2898  2 Pd 2.85-2.94, 1 Sb 3.18
Er 0.3910 0.2500 0.1005  1 Pd 2.86, 1 Sb 3.14
Er 0.4303 0.2500 0.6067  1 Pd 2.76
Er 0.5697 0.7500 0.3933  1 Pd 2.76
Er 0.6090 0.7500 0.8995  1 Pd 2.86, 1 Sb 3.14
Er 0.9993 0.0003 0.7102  2 Pd 2.85-2.94, 1 Sb 3.18
Er 0.9993 0.4997 0.7102  2 Pd 2.85-2.94, 1 Sb 3.18
Sb 0.1979 0.7500 0.0434  9 Er 3.10-3.44
Sb 0.8021 0.2500 0.9566  9 Er 3.10-3.44
Pd 0.2727 0.7500 0.5734  6 Er 2.76-2.94
Pd 0.7273 0.2500 0.4266  6 Er 2.76-2.94

* DOS at the Fermi energy: 0.876 states/eV/atom


Most stable one: *x*, least stable one: *w*.


*w*
Compound: ErScPd4
Source: Alexandria via LeMat-Bulk
Functional: PBE
Structure: relaxed

abc: 6.6861 3.9947 16.5475
angles: 90.00 90.00 90.00
With the nearest neighbours (Å) after each atom.
Fractional positions:
Er 0.1764 0.2500 0.2104  9 Pd 2.82-2.97
Er 0.3236 0.7500 0.7104  9 Pd 2.82-2.97
Er 0.6764 0.2500 0.2896  9 Pd 2.82-2.97
Er 0.8236 0.7500 0.7896  9 Pd 2.82-2.97
Sc 0.1911 0.7500 0.4744  10 Pd 2.74-3.04
Sc 0.3089 0.2500 0.9744  10 Pd 2.74-3.04
Sc 0.6911 0.7500 0.0256  10 Pd 2.74-3.04
Sc 0.8089 0.2500 0.5256  10 Pd 2.74-3.04
Pd 0.0408 0.7500 0.9394  3 Sc 2.74-2.75, 1 Er 2.87, 8 Pd 2.88-2.92
Pd 0.0567 0.2500 0.3738  3 Sc 2.75-3.01, 2 Er 2.82-2.90, 5 Pd 2.85-2.97
Pd 0.1416 0.2500 0.8207  1 Sc 2.78, 5 Pd 2.88-3.10, 4 Er 2.96-2.97
Pd 0.2337 0.2500 0.5904  3 Sc 2.78-3.04, 6 Pd 2.85-3.10, 2 Er 2.88
Pd 0.2663 0.7500 0.0904  3 Sc 2.78-3.04, 6 Pd 2.85-3.10, 2 Er 2.88
Pd 0.3584 0.7500 0.3207  1 Sc 2.78, 5 Pd 2.88-3.10, 4 Er 2.96-2.97
Pd 0.4433 0.7500 0.8738  3 Sc 2.75-3.01, 2 Er 2.82-2.90, 5 Pd 2.85-2.97
Pd 0.4592 0.2500 0.4394  3 Sc 2.74-2.75, 1 Er 2.87, 8 Pd 2.88-2.92
Pd 0.5408 0.7500 0.5606  3 Sc 2.74-2.75, 1 Er 2.87, 8 Pd 2.88-2.92
Pd 0.5567 0.2500 0.1262  3 Sc 2.75-3.01, 2 Er 2.82-2.90, 5 Pd 2.85-2.97
Pd 0.6416 0.2500 0.6793  1 Sc 2.78, 5 Pd 2.88-3.10, 4 Er 2.96-2.97
Pd 0.7337 0.2500 0.9096  3 Sc 2.78-3.04, 6 Pd 2.85-3.10, 2 Er 2.88
Pd 0.7663 0.7500 0.4096  3 Sc 2.78-3.04, 6 Pd 2.85-3.10, 2 Er 2.88
Pd 0.8584 0.7500 0.1793  1 Sc 2.78, 5 Pd 2.88-3.10, 4 Er 2.96-2.97
Pd 0.9433 0.7500 0.6262  3 Sc 2.75-3.01, 2 Er 2.82-2.90, 5 Pd 2.85-2.97
Pd 0.9592 0.2500 0.0606  3 Sc 2.74-2.75, 1 Er 2.87, 8 Pd 2.88-2.92

* DOS at the Fermi energy: 0.484 states/eV/atom


*x*
Compound: ErScPd4
Source: Alexandria via LeMat-Bulk
Functional: PBE
Structure: relaxed

abc: 5.3653 5.3653 5.3653
angles: 60.00 60.00 60.00
With the nearest neighbours (Å) after each atom.
Fractional positions:
Er 0.0000 0.0000 0.0000  12 Pd 3.15, 4 Sc 3.29
Sc 0.2500 0.2500 0.2500  12 Pd 3.15, 4 Er 3.29
Pd 0.1255 0.6248 0.6248  6 Pd 2.68-2.69
Pd 0.6248 0.1255 0.6248  6 Pd 2.68-2.69
Pd 0.6248 0.6248 0.1255  6 Pd 2.68-2.69
Pd 0.6248 0.6248 0.6248  6 Pd 2.68-2.69

* DOS at the Fermi energy: 0.731 states/eV/atom


Most stable one: *w*, least stable one: *x*.


*w*
Compound: ErScTlPd
Source: Alexandria via LeMat-Bulk
Functional: PBE
Structure: relaxed

abc: 3.4807 3.4807 7.3489
angles: 90.00 90.00 90.00
With the nearest neighbours (Å) after each atom.
Fractional positions:
Er 0.0000 0.0000 0.0000  4 Pd 3.05, 1 Sc 3.26, 4 Tl 3.29
Sc 0.0000 0.0000 0.5568  4 Pd 2.86, 4 Tl 3.12
Tl 0.5000 0.5000 0.2966  4 Sc 3.12, 4 Er 3.29, 1 Pd 3.36, 4 Tl 3.48
Pd 0.5000 0.5000 0.7542  4 Sc 2.86, 4 Er 3.05

* DOS at the Fermi energy: 0.735 states/eV/atom


*x*
Compound: ErScTlPd
Source: Alexandria via LeMat-Bulk
Functional: PBE
Structure: relaxed

abc: 7.0947 7.0947 7.0947
angles: 90.00 90.00 90.00
With the nearest neighbours (Å) after each atom.
Fractional positions:
Er 0.0000 0.0000 0.0000  4 Pd 3.07, 4 Tl 3.07
Er 0.0000 0.5000 0.5000  4 Pd 3.07, 4 Tl 3.07
Er 0.5000 0.0000 0.5000  4 Pd 3.07, 4 Tl 3.07
Er 0.5000 0.5000 0.0000  4 Pd 3.07, 4 Tl 3.07
Sc 0.0000 0.0000 0.5000  4 Tl 3.07, 4 Pd 3.07
Sc 0.0000 0.5000 0.0000  4 Tl 3.07, 4 Pd 3.07
Sc 0.5000 0.0000 0.0000  4 Tl 3.07, 4 Pd 3.07
Sc 0.5000 0.5000 0.5000  4 Tl 3.07, 4 Pd 3.07
Tl 0.2500 0.2500 0.7500  4 Er 3.07, 4 Sc 3.07
Tl 0.2500 0.7500 0.2500  4 Er 3.07, 4 Sc 3.07
Tl 0.7500 0.2500 0.2500  4 Er 3.07, 4 Sc 3.07
Tl 0.7500 0.7500 0.7500  4 Sc 3.07, 4 Er 3.07
Pd 0.2500 0.2500 0.2500  4 Er 3.07, 4 Sc 3.07
Pd 0.2500 0.7500 0.7500  4 Er 3.07, 4 Sc 3.07
Pd 0.7500 0.2500 0.7500  4 Er 3.07, 4 Sc 3.07
Pd 0.7500 0.7500 0.2500  4 Er 3.07, 4 Sc 3.07

* DOS at the Fermi energy: 0.906 states/eV/atom


Most stable one: *w*, least stable one: *x*.